Entry 1:
Computed, not measured: a relaxed La4Te2IrS crystal at the PBE level of DFT.

a b c (Å): 7.5898 4.2981 7.8664
angles (deg): 90.00 108.53 90.00
Last column: nearest neighbours and their distance in Å.
Space group P2/m (No. 10)
Asymmetric unit:
La  0.2267  0.0000  0.2101 x2  2 Ir 2.92, 1 S 3.04, 1 Te 3.26
La  0.2564  0.5000  0.7820 x2  1 Ir 2.97, 2 S 2.99, 3 Te 3.25-3.31
Te  0.0000  0.0000  0.5000 x1  6 La 3.25-3.26
Te  0.5000  0.5000  0.5000 x1  6 La 3.31-3.33
Ir  0.0000  0.5000  0.0000 x1  6 La 2.92-2.97
S  0.5000  0.0000  0.0000 x1  6 La 2.99-3.04

Results
Total moment in μB/cell: 0.00



Entry 2:
Computed, not measured: a relaxed BaNaHg crystal at the PBE level of DFT.

a b c (Å): 7.9690 7.9690 7.9690
angles (deg): 90.00 90.00 90.00
Last column: nearest neighbours and their distance in Å.
Space group F-43m (No. 216)
Asymmetric unit:
Ba  0.0000  0.0000  0.0000 x4  4 Hg 3.45
Na  0.0000  0.0000  0.5000 x4  4 Hg 3.45
Hg  0.2500  0.2500  0.2500 x4  4 Na 3.45, 4 Ba 3.45

Results
Calculated formation energy in meV per atom: -252.1
Total moment in μB/cell: 0.00
Energy above the most stable polymorph in this dataset in meV/atom: 84



Entry 3:
Computed, not measured: a relaxed BaMnIr2 crystal at the PBE level of DFT.

a b c (Å): 4.5523 4.5523 7.6176
angles (deg): 90.00 90.00 90.00
Last column: nearest neighbours and their distance in Å.
Space group I-4m2 (No. 119)
Asymmetric unit:
Ba  0.0000  0.0000  0.0000 x2  4 Mn 2.97, 8 Ir 2.97-3.22
Mn  0.0000  0.5000  0.2500 x2  4 Ba 2.97, 8 Ir 2.97-3.22
Ir  0.0000  0.0000  0.5000 x2  4 Mn 2.97, 4 Ir 2.97, 4 Ba 3.22
Ir  0.0000  0.5000  0.7500 x2  4 Ba 2.97, 4 Ir 2.97, 4 Mn 3.22

Results
Calculated formation energy in meV per atom: 798.2
Total moment in μB/cell: 7.11
Energy above the most stable polymorph in this dataset in meV/atom: 840



Number 1: final energy -0.2348 Ha/atom. Number 2: final energy -0.0527 Ha/atom. Number 3: final energy -0.2354 Ha/atom.